Below is a relaxed HoHfIn2 crystal, with properties calculated at the PBE level.

Values from the calculation:
As for the formation energy: -0.2226 eV per atom. As for the space-group type: P4/mmm, No. 123. As for the crystal system: tetragonal.

abc: 4.653 4.653 4.385
angles: 90.00 90.00 90.00
Fractional positions:
Ho (0.000, 0.000, 0.000)
Hf (0.500, 0.500, 0.000)
In (0.000, 0.500, 0.500)
In (0.500, 0.000, 0.500)